No. 1
First-principles (PBE) data for crystalline PmCuAs2 at its relaxed geometry, as listed in Alexandria.

Properties
Crystal system: orthorhombic
Space group: Fmm2, No. 42
ΔE_f, eV/atom: -0.828

a = 10.4997 Å, b = 3.9764 Å, c = 10.4962 Å
α = 79.13°, β = 21.83°, γ = 79.03°
Positions (direct):
Pm1 0.1197 0.8803 0.1197
Pm2 0.8803 0.1197 0.8803
Cu1 0.2501 0.2501 0.2499
Cu2 0.7501 0.7501 0.7499
As1 0.3266 0.6740 0.3260
As2 0.5059 0.9628 0.4941
As3 0.6740 0.3266 0.6734
As4 0.9628 0.5059 0.0372

***

No. 2
First-principles (PBE) data for crystalline Pm2CuAs at its relaxed geometry, as listed in Alexandria.

Properties
Crystal system: cubic
Space group: Fm-3m, No. 225
ΔE_f, eV/atom: -0.606

a = 5.0864 Å, b = 5.0864 Å, c = 5.0864 Å
α = 60.00°, β = 60.00°, γ = 60.00°
Positions (direct):
Pm1 0.2500 0.2500 0.2500
Pm2 0.7500 0.7500 0.7500
Cu1 0.0000 0.0000 0.0000
As1 0.5000 0.5000 0.5000

***

No. 3
First-principles (PBE) data for crystalline Pm2CuAs at its relaxed geometry, as listed in Alexandria.

Properties
Crystal system: tetragonal
Space group: P4/mmm, No. 123
ΔE_f, eV/atom: -0.657

a = 4.9733 Å, b = 4.9733 Å, c = 3.7686 Å
α = 90.00°, β = 90.00°, γ = 90.00°
Positions (direct):
Pm1 0.0000 0.5000 0.0000
Pm2 0.5000 0.0000 0.0000
Cu1 0.0000 0.0000 0.5000
As1 0.5000 0.5000 0.5000